1.
# Nd2HgPd, relaxed, DFT PBE
data_Nd2HgPd
_space_group_name_H-M_alt 'F m -3 m'
_space_group_IT_number 225
_space_group_name_Hall '-F 4 2 3'
_cell_length_a 7.467
_cell_length_b 7.467
_cell_length_c 7.467
_cell_angle_alpha 90.00
_cell_angle_beta 90.00
_cell_angle_gamma 90.00
loop_
_atom_site_label
_atom_site_fract_x
_atom_site_fract_y
_atom_site_fract_z
Nd1 0.250 0.250 0.250
Hg1 0.000 0.000 0.000
Pd1 0.000 0.000 0.500
# Calculated volume, Å³/cell: 416.3
# Offset from the most stable computed form, meV per atom: 48

***

2.
# NdHg6Pd12, relaxed, DFT PBE
data_NdHg6Pd12
_space_group_name_H-M_alt 'R -3 m'
_space_group_IT_number 166
_space_group_name_Hall '-R 3 2"'
_cell_length_a 12.1219
_cell_length_b 12.1219
_cell_length_c 8.8328
_cell_angle_alpha 90.00
_cell_angle_beta 90.00
_cell_angle_gamma 120.00
loop_
_atom_site_label
_atom_site_fract_x
_atom_site_fract_y
_atom_site_fract_z
Nd1 0.0000 0.0000 0.0000
Hg1 0.0640 0.5320 0.2352
Pd1 0.0000 0.3878 0.5000
Pd2 0.0792 0.1584 0.2691
# Calculated volume, Å³/cell: 1124.0

***

Table of DOS at the Fermi energy (states/eV/f.u.), in record order: 3.48; 7.75
Table of ρ (g/cm³), in record order: 9.50; 11.63
Table of DFT formation energy (meV/atom), in record order: -564; -90